Record 1
# RbSiTe2

A relaxed structure of RbSiTe2 (PBE-GGA, Alexandria).

Summary:
formation energy (no corrections) = -0.35 eV per atom
electronic total energy = -56.3 eV per cell
N(E_F) = 5.324 states/eV/cell

Unit cell a=7.177 b=7.384 c=13.016 alpha=90.00 beta=116.32 gamma=90.00
Fractional positions:
Rb  0.090  0.166  0.131
Rb  0.090  0.834  0.631
Rb  0.910  0.166  0.369
Rb  0.910  0.834  0.869
Si  0.498  0.420  0.622
Si  0.498  0.580  0.122
Si  0.502  0.420  0.878
Si  0.502  0.580  0.378
Te  0.181  0.352  0.675
Te  0.181  0.648  0.175
Te  0.480  0.236  0.438
Te  0.480  0.764  0.938
Te  0.520  0.236  0.062
Te  0.520  0.764  0.562
Te  0.819  0.352  0.825
Te  0.819  0.648  0.325

Record 2
# Rb3SiTe4

A relaxed structure of Rb3SiTe4 (PBE-GGA, Alexandria).

Summary:
formation energy (no corrections) = -0.67 eV per atom
electronic total energy = -52.5 eV per cell
N(E_F) = 1.059 states/eV/cell

Unit cell a=6.680 b=14.856 c=7.438 alpha=90.00 beta=90.00 gamma=90.00
Fractional positions:
Rb  0.000  0.000  0.000
Rb  0.000  0.288  0.895
Rb  0.000  0.712  0.895
Rb  0.500  0.212  0.395
Rb  0.500  0.500  0.500
Rb  0.500  0.788  0.395
Si  0.000  0.500  0.235
Si  0.500  0.000  0.735
Te  0.000  0.355  0.410
Te  0.000  0.645  0.410
Te  0.235  0.000  0.491
Te  0.265  0.500  0.991
Te  0.500  0.145  0.910
Te  0.500  0.855  0.910
Te  0.735  0.500  0.991
Te  0.765  0.000  0.491

Record 3
# Rb2SiTe5

A relaxed structure of Rb2SiTe5 (PBE-GGA, Alexandria).

Summary:
formation energy (no corrections) = -0.36 eV per atom
electronic total energy = -51.8 eV per cell
N(E_F) = 2.176 states/eV/cell

Unit cell a=6.774 b=6.774 c=15.108 alpha=90.00 beta=90.00 gamma=90.00
Fractional positions:
Rb  0.000  0.500  0.000
Rb  0.000  0.500  0.500
Rb  0.500  0.000  0.000
Rb  0.500  0.000  0.500
Si  0.000  0.000  0.270
Si  0.500  0.500  0.770
Te  0.000  0.000  0.434
Te  0.240  0.240  0.700
Te  0.240  0.760  0.700
Te  0.260  0.260  0.200
Te  0.260  0.740  0.200
Te  0.500  0.500  0.934
Te  0.740  0.260  0.200
Te  0.740  0.740  0.200
Te  0.760  0.240  0.700
Te  0.760  0.760  0.700

Record 4
# Rb2SiTe

A relaxed structure of Rb2SiTe (PBE-GGA, Alexandria).

Summary:
energy relative to the lowest polymorph listed for this composition = 0 meV per atom
formation energy (no corrections) = 0.09 eV per atom
electronic total energy = -40.6 eV per cell
N(E_F) = 0.000 states/eV/cell

Unit cell a=9.859 b=9.859 c=6.583 alpha=90.00 beta=90.00 gamma=90.00
Fractional positions:
Rb  0.243  0.250  0.125
Rb  0.250  0.743  0.375
Rb  0.250  0.757  0.875
Rb  0.257  0.250  0.625
Rb  0.743  0.750  0.625
Rb  0.750  0.243  0.875
Rb  0.750  0.257  0.375
Rb  0.757  0.750  0.125
Si  0.000  0.000  0.000
Si  0.000  0.500  0.250
Si  0.500  0.000  0.750
Si  0.500  0.500  0.500
Te  0.000  0.000  0.500
Te  0.000  0.500  0.750
Te  0.500  0.000  0.250
Te  0.500  0.500  0.000

Record 5
# RbSiTe3

A relaxed structure of RbSiTe3 (PBE-GGA, Alexandria).

Summary:
formation energy (no corrections) = -0.39 eV per atom
electronic total energy = -71.1 eV per cell
N(E_F) = 13.901 states/eV/cell

Unit cell a=7.591 b=16.751 c=6.529 alpha=90.00 beta=91.53 gamma=90.00
Fractional positions:
Rb  0.234  0.042  0.238
Rb  0.234  0.458  0.738
Rb  0.766  0.542  0.262
Rb  0.766  0.958  0.762
Si  0.240  0.691  0.093
Si  0.240  0.809  0.593
Si  0.760  0.191  0.407
Si  0.760  0.309  0.907
Te  0.081  0.236  0.465
Te  0.081  0.264  0.965
Te  0.268  0.556  0.239
Te  0.268  0.944  0.739
Te  0.405  0.692  0.761
Te  0.405  0.808  0.261
Te  0.595  0.192  0.739
Te  0.595  0.308  0.239
Te  0.732  0.056  0.261
Te  0.732  0.444  0.761
Te  0.919  0.736  0.035
Te  0.919  0.764  0.535

Record 6
# RbSiTe2

A relaxed structure of RbSiTe2 (PBE-GGA, Alexandria).

Summary:
formation energy (no corrections) = -0.32 eV per atom
electronic total energy = -55.8 eV per cell
N(E_F) = 11.001 states/eV/cell

Unit cell a=8.201 b=8.201 c=9.889 alpha=90.00 beta=90.00 gamma=90.00
Fractional positions:
Rb  0.000  0.000  0.000
Rb  0.000  0.500  0.250
Rb  0.500  0.000  0.750
Rb  0.500  0.500  0.500
Si  0.000  0.000  0.500
Si  0.000  0.500  0.750
Si  0.500  0.000  0.250
Si  0.500  0.500  0.000
Te  0.143  0.250  0.625
Te  0.250  0.643  0.875
Te  0.250  0.857  0.375
Te  0.357  0.250  0.125
Te  0.643  0.750  0.125
Te  0.750  0.143  0.375
Te  0.750  0.357  0.875
Te  0.857  0.750  0.625